Computed, not measured: a geometry-optimized Mg2ReP structure at the PBE-GGA level of DFT.

The value obtained for the formation energy is 0.23 eV per atom. The total magnetization is 0.002 Bohr magnetons per cell. The density of states at the Fermi level is 9.9 states/eV/cell. The calculation puts the total energy at -5.0330 eV per atom.

It has space group R-3m (No. 166, hexagonal axes), with a = 2.9140 Å, b = 2.9140 Å, c = 26.4755 Å, α = 90.00°, β = 90.00° and γ = 120.00°. Symmetry generates all atoms from Mg at (0.0000, 0.0000, 0.2479), Re at (0.0000, 0.0000, 0.0000) and P at (0.0000, 0.0000, 0.5000).

***

Computed, not measured: a geometry-optimized MgReP2 structure at the PBE-GGA level of DFT.

The value obtained for the formation energy is -0.25 eV per atom. The total magnetization is 0.000 Bohr magnetons per cell. The density of states at the Fermi level is 2.8 states/eV/cell. The calculation puts the total energy at -6.4624 eV per atom.

It has space group Imm2 (No. 44), with a = 3.063 Å, b = 3.266 Å, c = 12.748 Å, α = 90.00°, β = 90.00° and γ = 90.00°. Symmetry generates all atoms from Mg at (0.000, 0.000, 0.000), Re at (0.000, 0.500, 0.258), P at (0.000, 0.000, 0.613) and P at (0.000, 0.500, 0.839).

***

Computed, not measured: a geometry-optimized MgReP2 structure at the PBE-GGA level of DFT.

The value obtained for the formation energy is 0.33 eV per atom. The total magnetization is 0.520 Bohr magnetons per cell. The density of states at the Fermi level is 7.1 states/eV/cell. The calculation puts the total energy at -5.8807 eV per atom.

It has space group I-4m2 (No. 119), with a = 3.661 Å, b = 3.661 Å, c = 8.738 Å, α = 90.00°, β = 90.00° and γ = 90.00°. Symmetry generates all atoms from Mg at (0.000, 0.000, 0.000), Re at (0.000, 0.500, 0.250), P at (0.000, 0.000, 0.500) and P at (0.000, 0.500, 0.750).

***

Computed, not measured: a geometry-optimized Mg2ReP structure at the PBE-GGA level of DFT.

The value obtained for the formation energy is 0.21 eV per atom. The total magnetization is 0.000 Bohr magnetons per cell. The density of states at the Fermi level is 3.6 states/eV/cell. The calculation puts the total energy at -5.0501 eV per atom.

It has space group Immm (No. 71), with a = 3.431 Å, b = 3.996 Å, c = 8.912 Å, α = 90.00°, β = 90.00° and γ = 90.00°. Symmetry generates all atoms from Mg at (0.000, 0.000, 0.241), Re at (0.000, 0.500, 0.000) and P at (0.000, 0.500, 0.500).

***

Computed, not measured: a geometry-optimized MgReP2 structure at the PBE-GGA level of DFT.

The value obtained for the formation energy is 0.32 eV per atom. The total magnetization is 0.000 Bohr magnetons per cell. The density of states at the Fermi level is 4.7 states/eV/cell. The calculation puts the total energy at -5.8997 eV per atom.

It has space group Cmm2 (No. 35), with a = 3.183 Å, b = 4.650 Å, c = 9.653 Å, α = 90.00°, β = 90.00° and γ = 90.00°. Symmetry generates all atoms from Mg at (0.000, 0.000, 0.000), Re at (0.000, 0.500, 0.757), P at (0.000, 0.000, 0.578) and P at (0.000, 0.500, 0.214).

***

Computed, not measured: a geometry-optimized MgReP2 structure at the PBE-GGA level of DFT.

The value obtained for the formation energy is 0.16 eV per atom. The total magnetization is 0.000 Bohr magnetons per cell. The density of states at the Fermi level is 5.1 states/eV/cell. The calculation puts the total energy at -6.0524 eV per atom.

It has space group C2/m (No. 12), with a = 5.606 Å, b = 6.555 Å, c = 3.124 Å, α = 90.00°, β = 94.14° and γ = 90.00°. Symmetry generates all atoms from Mg at (0.000, 0.000, 0.000), Re at (0.000, 0.500, 0.000) and P at (0.250, 0.250, 0.500).

***

Computed, not measured: a geometry-optimized Mg2ReP structure at the PBE-GGA level of DFT.

The value obtained for the formation energy is 0.00 eV per atom. The total magnetization is 0.000 Bohr magnetons per cell. The density of states at the Fermi level is 3.0 states/eV/cell. The calculation puts the total energy at -5.2629 eV per atom.

It has space group Imm2 (No. 44), with a = 3.074 Å, b = 4.720 Å, c = 9.345 Å, α = 90.00°, β = 90.00° and γ = 90.00°. Symmetry generates all atoms from Mg at (0.000, 0.000, 0.000), Mg at (0.000, 0.500, 0.204), Re at (0.000, 0.500, 0.773) and P at (0.000, 0.000, 0.459).

***

Computed, not measured: a geometry-optimized Mg2ReP structure at the PBE-GGA level of DFT.

The value obtained for the formation energy is 0.46 eV per atom. The total magnetization is 3.086 Bohr magnetons per cell. The density of states at the Fermi level is 10.8 states/eV/cell. The calculation puts the total energy at -4.8045 eV per atom.

It has space group I-42d (No. 122), with a = 8.138 Å, b = 8.138 Å, c = 4.624 Å, α = 90.00°, β = 90.00° and γ = 90.00°. Symmetry generates all atoms from Mg at (0.163, 0.250, 0.125), Re at (0.000, 0.000, 0.500) and P at (0.000, 0.000, 0.000).

***

Computed, not measured: a geometry-optimized Mg2ReP structure at the PBE-GGA level of DFT.

The value obtained for the formation energy is -0.06 eV per atom. The total magnetization is 0.000 Bohr magnetons per cell. The density of states at the Fermi level is 5.9 states/eV/cell. The calculation puts the total energy at -5.3251 eV per atom.

It has space group R3m (No. 160, hexagonal axes), with a = 3.0777 Å, b = 3.0777 Å, c = 26.0549 Å, α = 90.00°, β = 90.00° and γ = 120.00°. Symmetry generates all atoms from Mg at (0.0000, 0.0000, 0.0000), Mg at (0.0000, 0.0000, 0.2300), Re at (0.0000, 0.0000, 0.4765) and P at (0.0000, 0.0000, 0.7507).

***

Computed, not measured: a geometry-optimized MgReP2 structure at the PBE-GGA level of DFT.

The value obtained for the formation energy is -0.10 eV per atom. The total magnetization is 0.000 Bohr magnetons per cell. The density of states at the Fermi level is 1.3 states/eV/cell. The calculation puts the total energy at -6.3175 eV per atom.

It has space group Pm (No. 6), with a = 3.211 Å, b = 4.541 Å, c = 4.582 Å, α = 90.00°, β = 110.45° and γ = 90.00°. Symmetry generates all atoms from Mg at (0.000, 0.000, 0.000), Re at (0.383, 0.500, 0.762), P at (0.277, 0.000, 0.552) and P at (0.667, 0.500, 0.330).

***

Computed, not measured: a geometry-optimized Mg2ReP structure at the PBE-GGA level of DFT.

The value obtained for the formation energy is -0.04 eV per atom. The total magnetization is 0.000 Bohr magnetons per cell. The density of states at the Fermi level is 2.8 states/eV/cell. The calculation puts the total energy at -5.3009 eV per atom.

It has space group Amm2 (No. 38), with a = 3.885 Å, b = 3.530 Å, c = 10.228 Å, α = 90.00°, β = 90.00° and γ = 90.00°. Symmetry generates all atoms from Mg at (0.000, 0.000, 0.000), Mg at (0.500, 0.000, 0.328), Re at (0.000, 0.000, 0.719) and P at (0.500, 0.000, 0.603).

***

Computed, not measured: a geometry-optimized Mg2ReP structure at the PBE-GGA level of DFT.

The value obtained for the formation energy is 0.20 eV per atom. The total magnetization is 0.000 Bohr magnetons per cell. The density of states at the Fermi level is 3.6 states/eV/cell. The calculation puts the total energy at -5.0598 eV per atom.

It has space group P4/mmm (No. 123), with a = 3.498 Å, b = 3.498 Å, c = 5.170 Å, α = 90.00°, β = 90.00° and γ = 90.00°. Symmetry generates all atoms from Mg at (0.000, 0.000, 0.247), Re at (0.500, 0.500, 0.000) and P at (0.500, 0.500, 0.500).

***

Computed, not measured: a geometry-optimized MgReP2 structure at the PBE-GGA level of DFT.

The value obtained for the formation energy is 0.61 eV per atom. The total magnetization is 0.000 Bohr magnetons per cell. The density of states at the Fermi level is 11.2 states/eV/cell. The calculation puts the total energy at -5.6023 eV per atom.

It has space group F-43m (No. 216), with a = 6.154 Å, b = 6.154 Å, c = 6.154 Å, α = 90.00°, β = 90.00° and γ = 90.00°. Symmetry generates all atoms from Mg at (0.000, 0.000, 0.000), Re at (0.250, 0.250, 0.250), P at (0.000, 0.000, 0.500) and P at (0.250, 0.250, 0.750).

***

Computed, not measured: a geometry-optimized Mg2ReP structure at the PBE-GGA level of DFT.

The value obtained for the formation energy is 0.17 eV per atom. The total magnetization is 0.000 Bohr magnetons per cell. The density of states at the Fermi level is 1.9 states/eV/cell. The calculation puts the total energy at -5.0911 eV per atom.

It has space group Cmm2 (No. 35), with a = 3.188 Å, b = 4.999 Å, c = 8.796 Å, α = 90.00°, β = 90.00° and γ = 90.00°. Symmetry generates all atoms from Mg at (0.000, 0.000, 0.000), Mg at (0.000, 0.500, 0.299), Re at (0.000, 0.000, 0.559) and P at (0.000, 0.500, 0.749).

***

Computed, not measured: a geometry-optimized MgReP2 structure at the PBE-GGA level of DFT.

The value obtained for the formation energy is -0.03 eV per atom. The total magnetization is 0.000 Bohr magnetons per cell. The density of states at the Fermi level is 8.4 states/eV/cell. The calculation puts the total energy at -6.2448 eV per atom.

It has space group I-42d (No. 122), with a = 5.698 Å, b = 5.698 Å, c = 10.894 Å, α = 90.00°, β = 90.00° and γ = 90.00°. Symmetry generates all atoms from Mg at (0.000, 0.000, 0.000), Re at (0.000, 0.000, 0.500) and P at (0.201, 0.250, 0.625).